(1)
# NdY5In3

Crystalline NdY5In3 at its relaxed geometry (GGA-PBE, the Alexandria database).

abc: 9.4156 9.4156 6.7663
angles: 90.00 90.00 120.00
Space group P6_3/mcm (No. 193)
Symmetry-distinct sites (fractional):
Nd  0.0000  0.0000  0.0000 x2
Y  0.0000  0.3293  0.2500 x6
Y  0.3333  0.6667  0.0000 x4
In  0.0000  0.3409  0.7500 x6

Output
Energy   -0.1991 hartree per atom
Total magnetic moment   0.22 μB/cell



(2)
# Nd6YIn2

Crystalline Nd6YIn2 at its relaxed geometry (GGA-PBE, the Alexandria database).

abc: 13.171 3.853 12.131
angles: 90.00 108.22 90.00
Space group C2/m (No. 12)
Symmetry-distinct sites (fractional):
Nd  0.017  0.000  0.339 x4
Nd  0.182  0.500  0.877 x4
Nd  0.193  0.500  0.591 x4
Y  0.000  0.000  0.000 x2
In  0.141  0.500  0.197 x4

Output
Energy above the most stable polymorph in this dataset   0 meV per atom
Total magnetic moment   0.00 μB/cell



(3)
# NdYIn2

Crystalline NdYIn2 at its relaxed geometry (GGA-PBE, the Alexandria database).

abc: 5.015 5.015 4.414
angles: 90.00 90.00 90.00
Space group P4/mmm (No. 123)
Symmetry-distinct sites (fractional):
Nd  0.000  0.000  0.000 x1
Y  0.500  0.500  0.000 x1
In  0.000  0.500  0.500 x2

Output
Energy   -0.1714 hartree per atom
Total magnetic moment   0.00 μB/cell



(4)
# Nd4YIn3

Crystalline Nd4YIn3 at its relaxed geometry (GGA-PBE, the Alexandria database).

abc: 23.604 3.840 5.474
angles: 90.00 102.85 90.00
Space group C2/m (No. 12)
Symmetry-distinct sites (fractional):
Nd  0.122  0.000  0.132 x4
Nd  0.232  0.000  0.733 x4
Y  0.000  0.000  0.500 x2
In  0.000  0.500  0.000 x2
In  0.114  0.500  0.628 x4

Output
Energy above the most stable polymorph in this dataset   0 meV per atom
Total magnetic moment   0.00 μB/cell



(5)
# NdY6In

Crystalline NdY6In at its relaxed geometry (GGA-PBE, the Alexandria database).

abc: 9.3027 9.3027 10.1745
angles: 90.00 90.00 120.00
Space group R-3 (No. 148, hexagonal axes)
Symmetry-distinct sites (fractional):
Nd  0.0000  0.0000  0.0000 x3
Y  0.0196  0.7628  0.7204 x18
In  0.0000  0.0000  0.5000 x3

Output
Energy above the most stable polymorph in this dataset   92 meV per atom
Total magnetic moment   0.00 μB/cell



(6)
# Nd2Y5In

Crystalline Nd2Y5In at its relaxed geometry (GGA-PBE, the Alexandria database).

abc: 7.069 7.069 10.135
angles: 90.00 90.00 90.00
Space group I4/mmm (No. 139)
Symmetry-distinct sites (fractional):
Nd  0.000  0.500  0.000 x4
Y  0.000  0.000  0.000 x2
Y  0.250  0.250  0.250 x8
In  0.000  0.000  0.500 x2

Output
Energy above the most stable polymorph in this dataset   0 meV per atom
Total magnetic moment   0.00 μB/cell



(7)
# NdYIn2

Crystalline NdYIn2 at its relaxed geometry (GGA-PBE, the Alexandria database).

abc: 7.640 7.640 7.640
angles: 90.00 90.00 90.00
Space group Fm-3m (No. 225)
Symmetry-distinct sites (fractional):
Nd  0.000  0.000  0.000 x4
Y  0.000  0.000  0.500 x4
In  0.250  0.250  0.250 x8

Output
Energy   -0.1718 hartree per atom
Total magnetic moment   0.00 μB/cell



(8)
# Nd6Y2In

Crystalline Nd6Y2In at its relaxed geometry (GGA-PBE, the Alexandria database).

abc: 10.941 10.941 4.967
angles: 90.00 90.00 90.00
Space group P4_2/mnm (No. 136)
Symmetry-distinct sites (fractional):
Nd  0.007  0.334  0.000 x8
Nd  0.160  0.160  0.500 x4
Y  0.159  0.841  0.500 x4
In  0.000  0.000  0.000 x2

Output
Energy above the most stable polymorph in this dataset   0 meV per atom
Total magnetic moment   0.00 μB/cell



What did the first record say?
# NdY5In3

Crystalline NdY5In3 at its relaxed geometry (GGA-PBE, the Alexandria database).

abc: 9.4156 9.4156 6.7663
angles: 90.00 90.00 120.00
Space group P6_3/mcm (No. 193)
Symmetry-distinct sites (fractional):
Nd  0.0000  0.0000  0.0000 x2
Y  0.0000  0.3293  0.2500 x6
Y  0.3333  0.6667  0.0000 x4
In  0.0000  0.3409  0.7500 x6

Output
Energy   -0.1991 hartree per atom
Total magnetic moment   0.22 μB/cell



- total magnetic moment of number 2 (Nd6YIn2)?
  0.00 μB/cell



- Look up the total magnetic moment of the fourth one.
  0.00 μB/cell